ScAlSb2 PBEsol relaxed; magnetic moment = 0.00 μB/cell; N(E_F) = 2.592 states/eV per cell; theoretical density = 5789 kg/m³; energy relative to the elements, uncorrected = -0.227 eV per atom; symmetry = Cmmm (65); ΔE to the lowest computed polymorph = 0.000 eV/atom
1.0
2.004 -2.598 0.000
2.004 2.598 0.000
0.000 0.000 8.689
Sc Al Sb
1 1 2
direct
0.000 0.000 0.000 Sc
0.000 0.000 0.500 Al
0.500 0.500 0.242 Sb
0.500 0.500 0.758 Sb